(1)
Compound: Li3ScZn3
Source: Alexandria via LeMat-Bulk
Functional: GGA-PBE
Structure: relaxed

abc: 6.5164 6.5164 6.5164
angles: 90.00 90.00 90.00
Space group Pm-3n (No. 223)
Symmetry-distinct sites (fractional):
Li: 0.0000 0.2500 0.5000 x6
Sc: 0.0000 0.0000 0.0000 x2
Zn: 0.0000 0.5000 0.2500 x6

VASP energy = -1.8931 eV/atom



(2)
Compound: Li2HgSe
Source: Alexandria via LeMat-Bulk
Functional: GGA-PBE
Structure: relaxed

abc: 3.4070 3.9405 12.9088
angles: 90.00 90.00 90.00
Space group Imm2 (No. 44)
Symmetry-distinct sites (fractional):
Li: 0.0000 0.0000 0.0000 x2
Li: 0.0000 0.5000 0.1774 x2
Hg: 0.0000 0.0000 0.3700 x2
Se: 0.0000 0.5000 0.6467 x2

distance to the lowest polymorph of the same formula = 0.1445 eV per atom
VASP energy = -2.5712 eV/atom



(3)
Compound: Pm8TcSb2
Source: Alexandria via LeMat-Bulk
Functional: GGA-PBE
Structure: relaxed

abc: 19.2607 4.7985 7.3689
angles: 90.00 99.49 90.00
Space group C2/m (No. 12)
Symmetry-distinct sites (fractional):
Pm: 0.0066 0.0000 0.2782 x4
Pm: 0.0941 0.5000 0.0072 x4
Pm: 0.1440 0.5000 0.5251 x4
Pm: 0.2166 0.0000 0.8442 x4
Tc: 0.0000 0.5000 0.5000 x2
Sb: 0.1807 0.0000 0.2651 x4

VASP energy = -5.5165 eV/atom



(4)
Compound: SmAlCo2H8
Source: Alexandria via LeMat-Bulk
Functional: GGA-PBE
Structure: relaxed

abc: 4.3861 4.3861 16.4634
angles: 90.00 90.00 120.00
Space group R-3 (No. 148, hexagonal axes)
Symmetry-distinct sites (fractional):
Sm: 0.0000 0.0000 0.0000 x3
Al: 0.0000 0.0000 0.5000 x3
Co: 0.0000 0.0000 0.1973 x6
H: 0.0000 0.0000 0.2984 x6
H: 0.0097 0.7281 0.8837 x18

VASP energy = -4.2700 eV/atom



(5)
Compound: MnZnCl
Source: Alexandria via LeMat-Bulk
Functional: GGA-PBE
Structure: relaxed

abc: 3.1255 3.1255 11.8824
angles: 90.00 90.00 90.00
Space group I4mm (No. 107)
Symmetry-distinct sites (fractional):
Mn: 0.0000 0.0000 0.0000 x2
Zn: 0.0000 0.0000 0.6282 x2
Cl: 0.0000 0.0000 0.3768 x2

distance to the lowest polymorph of the same formula = 0.0643 eV per atom
VASP energy = -4.1644 eV/atom



(6)
Compound: SmPuP
Source: Alexandria via LeMat-Bulk
Functional: GGA-PBE
Structure: relaxed

abc: 6.7807 6.7807 6.7807
angles: 90.00 90.00 90.00
Space group F-43m (No. 216)
Symmetry-distinct sites (fractional):
Sm: 0.0000 0.0000 0.0000 x4
Pu: 0.0000 0.0000 0.5000 x4
P: 0.2500 0.2500 0.7500 x4

VASP energy = -8.7765 eV/atom



(7)
Compound: NbHg
Source: Alexandria via LeMat-Bulk
Functional: GGA-PBE
Structure: relaxed

abc: 4.7403 3.5443 9.6020
angles: 90.00 92.80 90.00
Space group C2/m (No. 12)
Symmetry-distinct sites (fractional):
Nb: 0.2408 0.0000 0.3870 x4
Hg: 0.1759 0.5000 0.1371 x4

VASP energy = -5.0445 eV/atom



(8)
Compound: Na2YPbO4
Source: Alexandria via LeMat-Bulk
Functional: GGA-PBE
Structure: relaxed

abc: 6.0017 3.4786 6.0043
angles: 90.00 109.47 90.00
Space group P2/m (No. 10)
Symmetry-distinct sites (fractional):
Na: 0.0000 0.0000 0.0000 x1
Na: 0.5000 0.5000 0.0000 x1
Y: 0.0000 0.5000 0.5000 x1
Pb: 0.5000 0.0000 0.5000 x1
O: 0.2261 0.0000 0.7168 x2
O: 0.2487 0.5000 0.2753 x2

VASP energy = -6.0274 eV/atom



(9)
Compound: LaAl2Cr
Source: Alexandria via LeMat-Bulk
Functional: GGA-PBE
Structure: relaxed

abc: 4.8203 4.9591 6.9988
angles: 90.00 90.00 90.00
Space group Imm2 (No. 44)
Symmetry-distinct sites (fractional):
La: 0.0000 0.0000 0.0000 x2
Al: 0.0000 0.0000 0.4961 x2
Al: 0.0000 0.5000 0.7575 x2
Cr: 0.0000 0.5000 0.2424 x2

VASP energy = -5.4083 eV/atom



(10)
Compound: TmAgS2
Source: Alexandria via LeMat-Bulk
Functional: GGA-PBE
Structure: relaxed

abc: 4.5364 4.5364 5.4909
angles: 90.00 90.00 120.00
Space group P3m1 (No. 156)
Symmetry-distinct sites (fractional):
Tm: 0.0000 0.0000 0.0000 x1
Ag: 0.6667 0.3333 0.4024 x1
S: 0.0000 0.0000 0.4717 x1
S: 0.6667 0.3333 0.9277 x1

VASP energy = -5.0530 eV/atom



(11)
Compound: Rb2In3Sn2
Source: Alexandria via LeMat-Bulk
Functional: GGA-PBE
Structure: relaxed

abc: 13.3926 4.9601 8.1454
angles: 90.00 118.36 90.00
Space group C2/m (No. 12)
Symmetry-distinct sites (fractional):
Rb: 0.1545 0.0000 0.2975 x4
In: 0.0000 0.5000 0.5000 x2
In: 0.0875 0.5000 0.9284 x4
Sn: 0.1558 0.0000 0.7862 x4

VASP energy = -2.7158 eV/atom



(12)
Compound: Sm2ThHg6
Source: Alexandria via LeMat-Bulk
Functional: GGA-PBE
Structure: relaxed

abc: 8.7433 8.7433 3.4270
angles: 90.00 90.00 120.00
Space group P6/mmm (No. 191)
Symmetry-distinct sites (fractional):
Sm: 0.3333 0.6667 0.0000 x2
Th: 0.0000 0.0000 0.0000 x1
Hg: 0.0000 0.3352 0.5000 x6

VASP energy = -2.4417 eV/atom